The following is a PBE with a Hubbard U calculation of a relaxed structure of CrPb2F6, from the Alexandria database.

```
data_CrPb2F6
_chemical_formula_sum 'Cr2 Pb4 F12'
_space_group_name_H-M_alt 'P 1'
_space_group_IT_number 1
_cell_length_a 5.4506
_cell_length_b 5.4506
_cell_length_c 11.2108
_cell_angle_alpha 90.00
_cell_angle_beta 90.00
_cell_angle_gamma 90.00
loop_
_space_group_symop_operation_xyz
'x,y,z'
loop_
_atom_site_label
_atom_site_type_symbol
_atom_site_fract_x
_atom_site_fract_y
_atom_site_fract_z
Cr1 Cr 0.0000 0.0000 0.0000
Cr2 Cr 0.5000 0.5000 0.5000
Pb1 Pb 0.0000 0.0000 0.3362
Pb2 Pb 0.0000 0.0000 0.6638
Pb3 Pb 0.5000 0.5000 0.1638
Pb4 Pb 0.5000 0.5000 0.8362
F1 F 0.1815 0.1815 0.1366
F2 F 0.1815 0.1815 0.8634
F3 F 0.1953 0.1953 0.5000
F4 F 0.3047 0.6953 0.0000
F5 F 0.3185 0.6815 0.3634
F6 F 0.3185 0.6815 0.6366
F7 F 0.6815 0.3185 0.3634
F8 F 0.6815 0.3185 0.6366
F9 F 0.6953 0.3047 0.0000
F10 F 0.8047 0.8047 0.5000
F11 F 0.8185 0.8185 0.1366
F12 F 0.8185 0.8185 0.8634
```

Calculated values
The value obtained for the total DFT energy (no corrections) is -5.310 eV/atom.